Here is a geometry-optimized BeNiC3 structure from the Alexandria database. Energies are from PBE-GGA.

It has space group Pm-3m (No. 221), with a = 3.721 Å, b = 3.721 Å, c = 3.721 Å, α = 90.00°, β = 90.00° and γ = 90.00°. The asymmetric unit holds Be at (0.000, 0.000, 0.000), Ni at (0.500, 0.500, 0.500) and C at (0.000, 0.500, 0.500).

As for the formation energy from the elements: 2.4886 eV per atom. The calculated volume comes out at 10.3 A^3/atom. Its crystal system is cubic. For the theoretical density, the calculation gives 3.34 Mg/m³. For the excess energy over the best structure of this formula in the dataset, the calculation gives 143.4 meV/atom.